a | Entry from Alexandria via LeMat-Bulk: a geometry-optimized YErZr structure (PBE).

The structure belongs to space group Pmma (No. 51); the cell edges are 6.1884, 3.2536 and 8.4624 Å and the angles 90.00°, 90.00° and 90.00°. The inequivalent atoms are Y at (0.2500, 0.0000, 0.1298), Er at (0.0000, 0.0000, 0.5000) and Zr at (0.2500, 0.5000, 0.7904).


b | Entry from Alexandria via LeMat-Bulk: a geometry-optimized YErZr structure (PBE).

The structure belongs to space group I4mm (No. 107); the cell edges are 3.4040, 3.4040 and 14.6422 Å and the angles 90.00°, 90.00° and 90.00°. The inequivalent atoms are Y at (0.0000, 0.0000, 0.0000), Er at (0.0000, 0.0000, 0.6883) and Zr at (0.0000, 0.0000, 0.3418).


Verdict on stability: a comes out at the bottom.


a | Entry from Alexandria via LeMat-Bulk: a geometry-optimized YErZr structure (PBE).

The structure belongs to space group P2_1/m (No. 11); the cell edges are 3.3437, 4.9699 and 10.2480 Å and the angles 90.00°, 99.31° and 90.00°. The inequivalent atoms are Y at (0.0494, 0.2500, 0.0980), Er at (0.3685, 0.2500, 0.7365) and Zr at (0.2124, 0.2500, 0.4256).


b | Entry from Alexandria via LeMat-Bulk: a geometry-optimized YErZr structure (PBE).

The structure belongs to space group P-6m2 (No. 187); the cell edges are 5.3440, 5.3440 and 3.4015 Å and the angles 90.00°, 90.00° and 120.00°. The inequivalent atoms are Y at (0.0000, 0.0000, 0.0000), Er at (0.3333, 0.6667, 0.5000) and Zr at (0.6667, 0.3333, 0.5000).


Verdict on stability: a comes out at the bottom.


a | Entry from Alexandria via LeMat-Bulk: a geometry-optimized Y4Er5Zr structure (PBE).

The structure belongs to space group P-1 (No. 2); the cell edges are 3.4964, 9.2601 and 9.8791 Å and the angles 74.48°, 89.90° and 79.18°. The inequivalent atoms are Y at (0.0971, 0.3054, 0.2893), Y at (0.0968, 0.3071, 0.8072), Er at (0.3000, 0.8999, 0.4001), Er at (0.3016, 0.8968, 0.9007), Er at (0.5000, 0.5000, 0.5000) and Zr at (0.5000, 0.5000, 0.0000).


b | Entry from Alexandria via LeMat-Bulk: a geometry-optimized Y4Er5Zr structure (PBE).

The structure belongs to space group I4mm (No. 107); the cell edges are 10.3894, 10.3894 and 5.8557 Å and the angles 90.00°, 90.00° and 90.00°. The inequivalent atoms are Y at (0.0000, 0.3193, 0.0000), Er at (0.0000, 0.0000, 0.7653), Er at (0.1838, 0.1838, 0.4730) and Zr at (0.0000, 0.0000, 0.2285).


Verdict on stability: b comes out at the bottom.


a | Entry from Alexandria via LeMat-Bulk: a geometry-optimized Er4Zn structure (PBE).

The structure belongs to space group Ibam (No. 72); the cell edges are 6.4050, 15.2038 and 5.6950 Å and the angles 90.00°, 90.00° and 90.00°. The inequivalent atoms are Er at (0.1514, 0.1880, 0.0000), Er at (0.1568, 0.4136, 0.0000) and Zn at (0.0000, 0.0000, 0.2500).


b | Entry from Alexandria via LeMat-Bulk: a geometry-optimized Er4Zn structure (PBE).

The structure belongs to space group Pm-3m (No. 221); the cell edges are 5.4026, 5.4026 and 5.4026 Å and the angles 90.00°, 90.00° and 90.00°. The inequivalent atoms are Er at (0.0000, 0.0000, 0.0000), Er at (0.0000, 0.5000, 0.5000) and Zn at (0.5000, 0.5000, 0.5000).


Verdict on stability: b comes out at the bottom.


a | Entry from Alexandria via LeMat-Bulk: a geometry-optimized Er5Zn structure (PBE).

The structure belongs to space group C2/m (No. 12); the cell edges are 5.8405, 10.3307 and 5.8491 Å and the angles 90.00°, 109.08° and 90.00°. The inequivalent atoms are Er at (0.0000, 0.0000, 0.0000), Er at (0.0000, 0.1639, 0.5000), Er at (0.0000, 0.3382, 0.0000) and Zn at (0.0000, 0.5000, 0.5000).


b | Entry from Alexandria via LeMat-Bulk: a geometry-optimized Er5Zn structure (PBE).

The structure belongs to space group Cmmm (No. 65); the cell edges are 4.7445, 14.6663 and 4.7522 Å and the angles 90.00°, 90.00° and 90.00°. The inequivalent atoms are Er at (0.0000, 0.0000, 0.0000), Er at (0.0000, 0.1607, 0.5000), Er at (0.0000, 0.3333, 0.0000) and Zn at (0.0000, 0.5000, 0.5000).


Verdict on stability: a comes out at the bottom.


a | Entry from Alexandria via LeMat-Bulk: a geometry-optimized Er3Zn2 structure (PBE).

The structure belongs to space group P-3m1 (No. 164); the cell edges are 4.9163, 4.9163 and 6.0507 Å and the angles 90.00°, 90.00° and 120.00°. The inequivalent atoms are Er at (0.0000, 0.0000, 0.0000), Er at (0.3333, 0.6667, 0.3433) and Zn at (0.3333, 0.6667, 0.8439).


b | Entry from Alexandria via LeMat-Bulk: a geometry-optimized Er3Zn2 structure (PBE).

The structure belongs to space group P4/mmm (No. 123); the cell edges are 3.5308, 3.5308 and 19.1824 Å and the angles 90.00°, 90.00° and 90.00°. The inequivalent atoms are Er at (0.0000, 0.0000, 0.0000), Er at (0.0000, 0.0000, 0.1842), Er at (0.0000, 0.0000, 0.3687), Er at (0.5000, 0.5000, 0.5000), Zn at (0.5000, 0.5000, 0.0931) and Zn at (0.5000, 0.5000, 0.2765).


Verdict on stability: a comes out at the bottom.


a | Entry from Alexandria via LeMat-Bulk: a geometry-optimized Er2ZrZn3 structure (PBE).

The structure belongs to space group P-3m1 (No. 164); the cell edges are 4.8928, 4.8928 and 6.0329 Å and the angles 90.00°, 90.00° and 120.00°. The inequivalent atoms are Er at (0.3333, 0.6667, 0.1721), Zr at (0.0000, 0.0000, 0.5000), Zn at (0.0000, 0.0000, 0.0000) and Zn at (0.3333, 0.6667, 0.6613).


b | Entry from Alexandria via LeMat-Bulk: a geometry-optimized Er2ZrZn3 structure (PBE).

The structure belongs to space group P4/mmm (No. 123); the cell edges are 3.4779, 3.4779 and 10.3486 Å and the angles 90.00°, 90.00° and 90.00°. The inequivalent atoms are Er at (0.0000, 0.0000, 0.1729), Zr at (0.0000, 0.0000, 0.5000), Zn at (0.5000, 0.5000, 0.0000) and Zn at (0.5000, 0.5000, 0.3485).


Verdict on stability: a comes out at the bottom.